1.
The following is a meta-GGA SCAN calculation of MnAl2 at its PBEsol-relaxed geometry, from the Alexandria database.

Properties
N(E_F)	2.5	states/eV/cell
E	-138.32	eV/cell
calculated density	4.6	g/cm³
spin magnetization	0.25	μB per atom
calculated volume	155.7	Å³/cell

Cell: 3.171 12.426 3.952 Å, 90.00 90.00 90.00°
Space group Cmcm (No. 63)
One atom of each set of equivalent atoms:
Mn1 0.000 0.097 0.250 x4
Al1 0.000 0.250 0.750 x4
Al2 0.000 0.433 0.250 x4


2.
The following is a meta-GGA SCAN calculation of MnAl2 at its PBEsol-relaxed geometry, from the Alexandria database.

Properties
N(E_F)	6.8	states/eV/cell
E	-137.56	eV/cell
calculated density	4.4	g/cm³
spin magnetization	0.89	μB per atom
calculated volume	165.4	Å³/cell

Cell: 10.199 2.734 6.157 Å, 90.00 105.46 90.00°
Space group C2/m (No. 12)
One atom of each set of equivalent atoms:
Mn1 0.135 0.000 0.026 x4
Al1 0.024 0.500 0.283 x4
Al2 0.202 0.000 0.665 x4


3.
The following is a meta-GGA SCAN calculation of Mn2Al at its PBEsol-relaxed geometry, from the Alexandria database.

Properties
N(E_F)	8.3	states/eV/cell
E	-174.47	eV/cell
calculated density	6.1	g/cm³
spin magnetization	0.00	μB per atom
calculated volume	149.0	Å³/cell

Cell: 2.659 3.999 14.006 Å, 90.00 90.00 90.00°
Space group Imma (No. 74)
One atom of each set of equivalent atoms:
Mn1 0.000 0.250 0.036 x4
Mn2 0.000 0.250 0.188 x4
Al1 0.000 0.250 0.635 x4


4.
The following is a meta-GGA SCAN calculation of Mn3Al at its PBEsol-relaxed geometry, from the Alexandria database.

Properties
N(E_F)	7.3	states/eV/cell
E	-126.28	eV/cell
calculated density	7.3	g/cm³
spin magnetization	0.33	μB per atom
calculated volume	87.5	Å³/cell

Cell: 2.814 3.949 7.873 Å, 90.00 90.00 90.00°
Space group Immm (No. 71)
One atom of each set of equivalent atoms:
Mn1 0.000 0.000 0.000 x2
Mn2 0.000 0.500 0.259 x4
Al1 0.000 0.000 0.500 x2


5.
The following is a meta-GGA SCAN calculation of Mn2AlMo at its PBEsol-relaxed geometry, from the Alexandria database.

Properties
N(E_F)	6.4	states/eV/cell
E	-159.11	eV/cell
calculated density	7.5	g/cm³
spin magnetization	1.10	μB per atom
calculated volume	103.7	Å³/cell

Cell: 3.440 4.029 7.481 Å, 90.00 90.00 90.00°
Space group Cmmm (No. 65)
One atom of each set of equivalent atoms:
Mn1 0.000 0.000 0.241 x4
Al1 0.000 0.500 0.000 x2
Mo1 0.000 0.500 0.500 x2


6.
The following is a meta-GGA SCAN calculation of Mn2AlMo at its PBEsol-relaxed geometry, from the Alexandria database.

Properties
N(E_F)	6.3	states/eV/cell
E	-159.36	eV/cell
calculated density	7.6	g/cm³
spin magnetization	0.21	μB per atom
calculated volume	101.3	Å³/cell

Cell: 3.508 3.508 8.234 Å, 90.00 90.00 90.00°
Space group I-4m2 (No. 119)
One atom of each set of equivalent atoms:
Mn1 0.000 0.000 0.000 x2
Mn2 0.000 0.500 0.250 x2
Al1 0.000 0.500 0.750 x2
Mo1 0.000 0.000 0.500 x2


7.
The following is a meta-GGA SCAN calculation of MnAlMo2 at its PBEsol-relaxed geometry, from the Alexandria database.

Properties
N(E_F)	4.4	states/eV/cell
E	-95.63	eV/cell
calculated density	8.2	g/cm³
spin magnetization	0.00	μB per atom
calculated volume	55.7	Å³/cell

Cell: 2.775 2.775 7.238 Å, 90.00 90.00 90.00°
Space group P4/mmm (No. 123)
One atom of each set of equivalent atoms:
Mn1 0.000 0.000 0.000 x1
Al1 0.000 0.000 0.500 x1
Mo1 0.500 0.500 0.223 x2


8.
The following is a meta-GGA SCAN calculation of MnAlMo2 at its PBEsol-relaxed geometry, from the Alexandria database.

Properties
N(E_F)	2.3	states/eV/cell
E	-96.21	eV/cell
calculated density	8.2	g/cm³
spin magnetization	0.45	μB per atom
calculated volume	55.6	Å³/cell

Cell: 2.664 4.152 5.205 Å, 90.00 104.98 90.00°
Space group P2/m (No. 10)
One atom of each set of equivalent atoms:
Mn1 0.000 0.000 0.000 x1
Al1 0.500 0.000 0.500 x1
Mo1 0.225 0.500 0.754 x2


9.
The following is a meta-GGA SCAN calculation of MnAlMo at its PBEsol-relaxed geometry, from the Alexandria database.

Properties
N(E_F)	4.2	states/eV/cell
excess energy over the best structure of this formula in the dataset	124	meV/atom
E	-122.36	eV/cell
calculated density	7.3	g/cm³
spin magnetization	0.66	μB per atom
calculated volume	81.3	Å³/cell

Cell: 2.650 3.915 7.840 Å, 90.00 90.00 90.00°
Space group Imm2 (No. 44)
One atom of each set of equivalent atoms:
Mn1 0.000 0.000 0.000 x2
Al1 0.000 0.000 0.658 x2
Mo1 0.000 0.000 0.327 x2


10.
The following is a meta-GGA SCAN calculation of MnAlMo at its PBEsol-relaxed geometry, from the Alexandria database.

Properties
N(E_F)	2.7	states/eV/cell
excess energy over the best structure of this formula in the dataset	0	meV/atom
E	-123.11	eV/cell
calculated density	7.5	g/cm³
spin magnetization	0.01	μB per atom
calculated volume	79.0	Å³/cell

Cell: 2.941 2.941 9.136 Å, 90.00 90.00 90.00°
Space group I4mm (No. 107)
One atom of each set of equivalent atoms:
Mn1 0.000 0.000 0.000 x2
Al1 0.000 0.000 0.336 x2
Mo1 0.000 0.000 0.646 x2


11.
The following is a meta-GGA SCAN calculation of Mn2AlMo at its PBEsol-relaxed geometry, from the Alexandria database.

Properties
N(E_F)	2.3	states/eV/cell
E	-79.82	eV/cell
calculated density	7.8	g/cm³
spin magnetization	0.27	μB per atom
calculated volume	49.4	Å³/cell

Cell: 4.083 4.083 2.963 Å, 90.00 90.00 90.00°
Space group P4/mmm (No. 123)
One atom of each set of equivalent atoms:
Mn1 0.000 0.500 0.000 x2
Al1 0.000 0.000 0.500 x1
Mo1 0.500 0.500 0.500 x1


12.
The following is a meta-GGA SCAN calculation of MnAlMo at its PBEsol-relaxed geometry, from the Alexandria database.

Properties
N(E_F)	1.1	states/eV/cell
excess energy over the best structure of this formula in the dataset	6	meV/atom
E	-61.53	eV/cell
calculated density	7.4	g/cm³
spin magnetization	0.40	μB per atom
calculated volume	40.1	Å³/cell

Cell: 4.1663 4.1663 2.6660 Å, 90.00 90.00 120.00°
Space group P3m1 (No. 156)
One atom of each set of equivalent atoms:
Mn1 0.0000 0.0000 0.0000 x1
Al1 0.3333 0.6667 0.6811 x1
Mo1 0.6667 0.3333 0.2499 x1